VASP calculation (meta-GGA SCAN) on a crystal of CaVSiO5 relaxed with PBEsol.

a b c (Å): 5.4073 5.4073 6.9430
angles (deg): 104.15 104.15 105.81
Each line ends with the local moment (μB).
Element x y z (fractional)
1 O 0.1104 0.6860 0.8880  0.00
2 O 0.8896 0.3140 0.1120  0.00
3 O 0.9396 0.0604 0.7500  -0.07
4 O 0.3758 0.2487 0.0881  0.01
5 O 0.0604 0.9396 0.2500  -0.07
6 O 0.7513 0.6242 0.4119  0.01
7 O 0.2487 0.3758 0.5881  0.01
8 O 0.3140 0.8896 0.6120  0.00
9 O 0.6860 0.1104 0.3880  0.00
10 O 0.6242 0.7513 0.9119  0.01
11 Ca 0.6718 0.3282 0.7500  0.00
12 Ca 0.3282 0.6718 0.2500  0.00
13 Si 0.3180 0.6820 0.7500  0.01
14 Si 0.6820 0.3180 0.2500  0.01
15 V 0.0000 0.0000 0.5000  1.00
16 V 0.0000 0.0000 0.0000  1.00

Total energy   -11.62 eV per atom
Fermi-level density of states   1.3 states/eV/cell
Total moment   0.125 μB/atom
Raw formation energy   -3078.0 meV per atom